A plane-wave DFT calculation with PBE-GGA was carried out for a relaxed structure of Nb2Cr2Te7.

```
Nb2Cr2Te7
1.0
4.010 -5.985 0.000
4.010 5.985 0.000
-0.874 0.000 6.902
Nb Cr Te
2 2 7
direct
0.141 0.859 0.000
0.859 0.141 0.000
0.239 0.239 0.688
0.761 0.761 0.312
0.025 0.459 0.770
0.110 0.110 0.296
0.459 0.025 0.770
0.500 0.500 0.500
0.541 0.975 0.230
0.890 0.890 0.704
0.975 0.541 0.230
```

Calculated values
Formation energy from raw total energies = -0.46 eV per formula unit
N(E_F) = 7.47 states/eV per cell

A plane-wave DFT calculation with PBE-GGA was carried out for a relaxed structure of NbCr2Te6.

```
NbCr2Te6
1.0
6.579 -2.646 0.000
6.579 2.646 0.000
-4.976 0.000 7.479
Nb Cr Te
1 2 6
direct
0.000 0.000 0.000
0.176 0.176 0.581
0.824 0.824 0.419
0.041 0.041 0.725
0.255 0.255 0.355
0.368 0.368 0.930
0.632 0.632 0.070
0.745 0.745 0.645
0.959 0.959 0.275
```

Calculated values
Formation energy from raw total energies = -0.39 eV per formula unit
N(E_F) = 4.76 states/eV per cell

A plane-wave DFT calculation with PBE-GGA was carried out for a relaxed structure of NbCrTe2.

```
NbCrTe2
1.0
-3.171 3.171 6.473
3.171 -3.171 6.473
3.171 3.171 -6.473
Nb Cr Te
2 2 4
direct
0.000 0.000 0.000
0.750 0.250 0.500
0.250 0.750 0.500
0.500 0.500 0.000
0.128 0.625 0.003
0.375 0.378 0.503
0.622 0.125 0.997
0.875 0.872 0.497
```

Calculated values
Formation energy from raw total energies = 1.21 eV per formula unit
Polymorph energy (0 for the lowest one) = 2.3 kJ/mol of atoms
N(E_F) = 4.74 states/eV per cell

A plane-wave DFT calculation with PBE-GGA was carried out for a relaxed structure of NbCrTe4.

```
NbCrTe4
1.0
6.351 0.000 0.000
0.000 3.714 0.000
-0.054 0.000 7.281
Nb Cr Te
1 1 4
direct
0.000 0.000 0.000
0.500 0.500 0.000
0.179 0.500 0.247
0.343 0.000 0.762
0.657 0.000 0.238
0.821 0.500 0.753
```

Calculated values
Formation energy from raw total energies = -1.75 eV per formula unit
Polymorph energy (0 for the lowest one) = 0.0 kJ/mol of atoms
N(E_F) = 2.55 states/eV per cell

A plane-wave DFT calculation with PBE-GGA was carried out for a relaxed structure of NbCrTe6.

```
NbCrTe6
1.0
6.444 0.000 0.000
3.040 5.964 0.000
3.062 1.001 6.068
Nb Cr Te
1 1 6
direct
0.000 0.000 0.000
0.500 0.500 0.500
0.038 0.760 0.727
0.299 0.589 0.187
0.414 0.106 0.687
0.586 0.894 0.313
0.701 0.411 0.813
0.962 0.240 0.273
```

Calculated values
Formation energy from raw total energies = -0.69 eV per formula unit
N(E_F) = 5.14 states/eV per cell

A plane-wave DFT calculation with PBE-GGA was carried out for a relaxed structure of NbCrTe3.

```
NbCrTe3
1.0
5.138 0.000 0.000
0.000 5.138 0.000
0.000 0.000 5.138
Nb Cr Te
1 1 3
direct
0.000 0.000 0.000
0.500 0.500 0.500
0.000 0.500 0.500
0.500 0.000 0.500
0.500 0.500 0.000
```

Calculated values
Formation energy from raw total energies = 3.53 eV per formula unit
Polymorph energy (0 for the lowest one) = 74.1 kJ/mol of atoms
N(E_F) = 3.23 states/eV per cell

A plane-wave DFT calculation with PBE-GGA was carried out for a relaxed structure of Nb3CrTe.

```
Nb3CrTe
1.0
4.687 0.000 0.000
0.000 4.687 0.000
0.000 0.000 4.687
Nb Cr Te
3 1 1
direct
0.000 0.000 0.500
0.000 0.500 0.000
0.500 0.000 0.000
0.000 0.000 0.000
0.500 0.500 0.500
```

Calculated values
Formation energy from raw total energies = 3.68 eV per formula unit
Polymorph energy (0 for the lowest one) = 0.0 kJ/mol of atoms
N(E_F) = 5.79 states/eV per cell

A plane-wave DFT calculation with PBE-GGA was carried out for a relaxed structure of NbCrTe2.

```
NbCrTe2
1.0
0.000 3.349 3.349
3.349 0.000 3.349
3.349 3.349 0.000
Nb Cr Te
1 1 2
direct
0.000 0.000 0.000
0.500 0.500 0.500
0.250 0.250 0.250
0.750 0.750 0.750
```

Calculated values
Formation energy from raw total energies = 1.11 eV per formula unit
Polymorph energy (0 for the lowest one) = 0.0 kJ/mol of atoms
N(E_F) = 8.61 states/eV per cell

A plane-wave DFT calculation with PBE-GGA was carried out for a relaxed structure of Ti2NbCrTe.

```
Ti2NbCrTe
1.0
4.612 0.000 0.000
0.000 4.612 0.000
0.000 0.000 4.587
Ti Nb Cr Te
2 1 1 1
direct
0.000 0.500 0.000
0.500 0.000 0.000
0.000 0.000 0.500
0.000 0.000 0.000
0.500 0.500 0.500
```

Calculated values
Formation energy from raw total energies = 2.20 eV per formula unit
N(E_F) = 4.38 states/eV per cell

A plane-wave DFT calculation with PBE-GGA was carried out for a relaxed structure of NbTl3Cr2Te6.

```
NbTl3Cr2Te6
1.0
3.584 -6.212 0.000
3.584 6.212 0.000
-0.014 0.000 8.047
Nb Tl Cr Te
1 3 2 6
direct
0.000 0.000 0.000
0.000 0.000 0.500
0.334 0.666 0.500
0.666 0.334 0.500
0.333 0.667 0.000
0.667 0.333 0.000
0.001 0.660 0.185
0.340 0.999 0.815
0.341 0.341 0.185
0.659 0.659 0.815
0.660 0.001 0.185
0.999 0.340 0.815
```

Calculated values
Formation energy from raw total energies = -2.84 eV per formula unit
N(E_F) = 6.19 states/eV per cell

A plane-wave DFT calculation with PBE-GGA was carried out for a relaxed structure of TiNb2Cr.

```
TiNb2Cr
1.0
1.514 0.874 8.471
-1.514 0.874 8.471
0.000 -1.749 8.471
Ti Nb Cr
1 2 1
direct
0.000 0.000 0.000
0.242 0.242 0.242
0.758 0.758 0.758
0.500 0.500 0.500
```

Calculated values
Formation energy from the elements = 0.2753 eV per atom
Polymorph energy (0 for the lowest one) = 21.6 kJ/mol of atoms
N(E_F) = 5.44 states/eV per cell

A plane-wave DFT calculation with PBE-GGA was carried out for a relaxed structure of TiNb2Cr.

```
TiNb2Cr
1.0
3.131 0.000 0.000
0.000 3.131 0.000
0.000 0.000 6.643
Ti Nb Cr
1 2 1
direct
0.000 0.000 0.000
0.500 0.500 0.271
0.500 0.500 0.729
0.000 0.000 0.500
```

Calculated values
Formation energy from the elements = 0.0511 eV per atom
Polymorph energy (0 for the lowest one) = 0.0 kJ/mol of atoms
N(E_F) = 6.20 states/eV per cell

A plane-wave DFT calculation with PBE-GGA was carried out for a relaxed structure of TiNb3Cr.

```
TiNb3Cr
1.0
4.637 0.000 0.000
0.000 4.637 0.000
0.000 0.000 4.637
Ti Nb Cr
1 3 1
direct
0.000 0.000 0.000
0.000 0.000 0.500
0.000 0.500 0.000
0.500 0.000 0.000
0.500 0.500 0.500
```

Calculated values
Formation energy from the elements = 1.6007 eV per atom
Polymorph energy (0 for the lowest one) = 74.8 kJ/mol of atoms
N(E_F) = 6.21 states/eV per cell

A plane-wave DFT calculation with PBE-GGA was carried out for a relaxed structure of Ti2NbCr.

```
Ti2NbCr
1.0
0.000 3.184 3.184
3.184 0.000 3.184
3.184 3.184 0.000
Ti Nb Cr
2 1 1
direct
0.250 0.250 0.250
0.750 0.750 0.750
0.000 0.000 0.000
0.500 0.500 0.500
```

Calculated values
Formation energy from the elements = 0.1361 eV per atom
Polymorph energy (0 for the lowest one) = 8.3 kJ/mol of atoms
N(E_F) = 7.72 states/eV per cell

A plane-wave DFT calculation with PBE-GGA was carried out for a relaxed structure of TiNb3Cr.

```
TiNb3Cr
1.0
4.617 0.000 0.000
0.000 4.617 0.000
0.000 0.000 4.617
Ti Nb Cr
1 3 1
direct
0.000 0.000 0.000
0.000 0.500 0.500
0.500 0.000 0.500
0.500 0.500 0.000
0.500 0.500 0.500
```

Calculated values
Formation energy from the elements = 0.8257 eV per atom
Polymorph energy (0 for the lowest one) = 0.0 kJ/mol of atoms
N(E_F) = 6.84 states/eV per cell

A plane-wave DFT calculation with PBE-GGA was carried out for a relaxed structure of TiNb2Cr.

```
TiNb2Cr
1.0
0.000 3.181 3.181
3.181 0.000 3.181
3.181 3.181 0.000
Ti Nb Cr
1 2 1
direct
0.000 0.000 0.000
0.250 0.250 0.250
0.750 0.750 0.750
0.500 0.500 0.500
```

Calculated values
Formation energy from the elements = 0.0814 eV per atom
Polymorph energy (0 for the lowest one) = 2.9 kJ/mol of atoms
N(E_F) = 7.24 states/eV per cell

A plane-wave DFT calculation with PBE-GGA was carried out for a relaxed structure of Ti3NbCr.

```
Ti3NbCr
1.0
4.471 0.000 0.000
0.000 4.471 0.000
0.000 0.000 4.471
Ti Nb Cr
3 1 1
direct
0.000 0.000 0.500
0.000 0.500 0.000
0.500 0.000 0.000
0.500 0.500 0.500
0.000 0.000 0.000
```

Calculated values
Formation energy from the elements = 0.5969 eV per atom
N(E_F) = 7.71 states/eV per cell

A plane-wave DFT calculation with PBE-GGA was carried out for a relaxed structure of TiNb2Cr.

```
TiNb2Cr
1.0
-3.525 3.525 2.753
3.525 -3.525 2.753
3.525 3.525 -2.753
Ti Nb Cr
2 4 2
direct
0.000 0.000 0.000
0.750 0.250 0.500
0.152 0.125 0.527
0.375 0.848 0.973
0.598 0.625 0.473
0.875 0.402 0.027
0.250 0.750 0.500
0.500 0.500 0.000
```

Calculated values
Formation energy from the elements = 0.5091 eV per atom
Polymorph energy (0 for the lowest one) = 44.2 kJ/mol of atoms
N(E_F) = 8.12 states/eV per cell

A plane-wave DFT calculation with PBE-GGA was carried out for a relaxed structure of Ti2NbCr.

```
Ti2NbCr
1.0
1.479 0.854 8.523
-1.479 0.854 8.523
0.000 -1.708 8.523
Ti Nb Cr
2 1 1
direct
0.239 0.239 0.239
0.761 0.761 0.761
0.000 0.000 0.000
0.500 0.500 0.500
```

Calculated values
Formation energy from the elements = 0.2213 eV per atom
Polymorph energy (0 for the lowest one) = 16.5 kJ/mol of atoms
N(E_F) = 5.35 states/eV per cell

A plane-wave DFT calculation with PBE-GGA was carried out for a relaxed structure of Ti2NbCr.

```
Ti2NbCr
1.0
-3.466 3.466 2.719
3.466 -3.466 2.719
3.466 3.466 -2.719
Ti Nb Cr
4 2 2
direct
0.095 0.125 0.470
0.375 0.905 0.030
0.655 0.625 0.530
0.875 0.345 0.970
0.250 0.750 0.500
0.500 0.500 0.000
0.000 0.000 0.000
0.750 0.250 0.500
```

Calculated values
Formation energy from the elements = 0.4668 eV per atom
Polymorph energy (0 for the lowest one) = 40.2 kJ/mol of atoms
N(E_F) = 10.56 states/eV per cell

A plane-wave DFT calculation with PBE-GGA was carried out for a relaxed structure of Ti2Nb2Cr.

```
Ti2Nb2Cr
1.0
6.999 0.000 0.000
0.000 6.999 0.000
0.000 0.000 3.590
Ti Nb Cr
4 4 2
direct
0.136 0.364 0.000
0.364 0.864 0.000
0.636 0.136 0.000
0.864 0.636 0.000
0.166 0.666 0.500
0.334 0.166 0.500
0.666 0.834 0.500
0.834 0.334 0.500
0.000 0.000 0.000
0.500 0.500 0.000
```

Calculated values
Formation energy from the elements = 0.3345 eV per atom
N(E_F) = 9.53 states/eV per cell

A plane-wave DFT calculation with PBE-GGA was carried out for a relaxed structure of TiNb2Cr.

```
TiNb2Cr
1.0
4.494 0.000 0.000
0.000 4.494 0.000
0.000 0.000 3.193
Ti Nb Cr
1 2 1
direct
0.000 0.000 0.000
0.000 0.500 0.500
0.500 0.000 0.500
0.500 0.500 0.000
```

Calculated values
Formation energy from the elements = 0.0928 eV per atom
Polymorph energy (0 for the lowest one) = 4.0 kJ/mol of atoms
N(E_F) = 6.37 states/eV per cell

A plane-wave DFT calculation with PBE-GGA was carried out for a relaxed structure of Ti2NbCr.

```
Ti2NbCr
1.0
3.052 0.000 0.000
0.000 3.052 0.000
0.000 0.000 6.803
Ti Nb Cr
2 1 1
direct
0.000 0.000 0.214
0.000 0.000 0.786
0.500 0.500 0.500
0.500 0.500 0.000
```

Calculated values
Formation energy from the elements = 0.0500 eV per atom
Polymorph energy (0 for the lowest one) = 0.0 kJ/mol of atoms
N(E_F) = 6.30 states/eV per cell

A plane-wave DFT calculation with PBE-GGA was carried out for a relaxed structure of Ti2NbCr.

```
Ti2NbCr
1.0
4.526 0.000 0.000
0.000 4.526 0.000
0.000 0.000 3.155
Ti Nb Cr
2 1 1
direct
0.000 0.500 0.000
0.500 0.000 0.000
0.000 0.000 0.500
0.500 0.500 0.500
```

Calculated values
Formation energy from the elements = 0.1250 eV per atom
Polymorph energy (0 for the lowest one) = 7.2 kJ/mol of atoms
N(E_F) = 6.76 states/eV per cell

A plane-wave DFT calculation with PBE-GGA was carried out for a relaxed structure of TiNbVCr.

```
TiNbVCr
1.0
0.000 3.114 3.114
3.114 0.000 3.114
3.114 3.114 0.000
Ti Nb V Cr
1 1 1 1
direct
0.000 0.000 0.000
0.500 0.500 0.500
0.250 0.250 0.250
0.750 0.750 0.750
```

Calculated values
Formation energy from the elements = 0.0644 eV per atom
N(E_F) = 6.80 states/eV per cell

A plane-wave DFT calculation with PBE-GGA was carried out for a relaxed structure of TiNbCr2W.

```
TiNbCr2W
1.0
4.190 0.000 0.000
0.000 4.190 0.000
0.000 0.000 4.760
Ti Nb Cr W
1 1 2 1
direct
0.000 0.000 0.000
0.500 0.500 0.500
0.000 0.500 0.000
0.500 0.000 0.000
0.000 0.000 0.500
```

Calculated values
Formation energy from the elements = 1.3591 eV per atom
Polymorph energy (0 for the lowest one) = 0.0 kJ/mol of atoms
N(E_F) = 6.42 states/eV per cell

A plane-wave DFT calculation with PBE-GGA was carried out for a relaxed structure of TiNbCr2W.

```
TiNbCr2W
1.0
4.566 0.000 0.000
0.000 4.566 0.000
0.000 0.000 4.891
Ti Nb Cr W
1 1 2 1
direct
0.000 0.000 0.000
0.500 0.500 0.000
0.000 0.500 0.500
0.500 0.000 0.500
0.500 0.500 0.500
```

Calculated values
Formation energy from the elements = 1.4212 eV per atom
Polymorph energy (0 for the lowest one) = 6.0 kJ/mol of atoms
N(E_F) = 6.71 states/eV per cell

no.,V (Å³/cell)
1,331.3
2,260.4
3,260.3
4,171.8
5,233.2
6,135.6
7,102.9
8,75.1
9,97.6
10,358.2
11,67.3
12,65.1
13,99.7
14,64.5
15,98.4
16,64.4
17,89.4
18,136.8
19,64.6
20,130.7
21,175.9
22,64.5
23,63.4
24,64.6
25,60.4
26,83.6
27,102.0